Entry 1:
Computed, not measured: a geometry-optimized HoTmInAg structure at the PBE-GGA level of DFT.

Output
For the total energy, the calculation gives -64.9 eV for the cell shown.

a b c (Å): 7.3609 7.3609 7.3609
angles (deg): 90.00 90.00 90.00
Fractional coordinates of all 16 atoms:
Ho  0.0000  0.0000  0.0000
Ho  0.0000  0.5000  0.5000
Ho  0.5000  0.0000  0.5000
Ho  0.5000  0.5000  0.0000
Tm  0.0000  0.0000  0.5000
Tm  0.0000  0.5000  0.0000
Tm  0.5000  0.0000  0.0000
Tm  0.5000  0.5000  0.5000
In  0.2500  0.2500  0.7500
In  0.2500  0.7500  0.2500
In  0.7500  0.2500  0.2500
In  0.7500  0.7500  0.7500
Ag  0.2500  0.2500  0.2500
Ag  0.2500  0.7500  0.7500
Ag  0.7500  0.2500  0.7500
Ag  0.7500  0.7500  0.2500

=====

Entry 2:
Computed, not measured: a geometry-optimized HoTm2In2Ag2 structure at the PBE-GGA level of DFT.

Output
For the total energy, the calculation gives -26.5 eV for the cell shown.

a b c (Å): 9.2047 9.2047 9.2047
angles (deg): 30.37 30.37 30.37
Fractional coordinates of all 7 atoms:
Ho  0.0000  0.0000  0.0000
Tm  0.1266  0.1266  0.1266
Tm  0.8734  0.8734  0.8734
In  0.2588  0.2588  0.2588
In  0.7412  0.7412  0.7412
Ag  0.3980  0.3980  0.3980
Ag  0.6020  0.6020  0.6020

=====

Entry 3:
Computed, not measured: a geometry-optimized Ho2TmIn2Ag2 structure at the PBE-GGA level of DFT.

Output
For the total energy, the calculation gives -26.6 eV for the cell shown.

a b c (Å): 9.2741 9.2741 9.2741
angles (deg): 30.10 30.10 30.10
Fractional coordinates of all 7 atoms:
Ho  0.1259  0.1259  0.1259
Ho  0.8741  0.8741  0.8741
Tm  0.0000  0.0000  0.0000
In  0.2601  0.2601  0.2601
In  0.7399  0.7399  0.7399
Ag  0.3941  0.3941  0.3941
Ag  0.6059  0.6059  0.6059

=====

Entry 4:
Computed, not measured: a geometry-optimized YHoInAg structure at the PBE-GGA level of DFT.

Output
For the total energy, the calculation gives -73.1 eV for the cell shown.

a b c (Å): 7.4166 7.4166 7.4166
angles (deg): 90.00 90.00 90.00
Fractional coordinates of all 16 atoms:
Y  0.0000  0.0000  0.0000
Y  0.0000  0.5000  0.5000
Y  0.5000  0.0000  0.5000
Y  0.5000  0.5000  0.0000
Ho  0.0000  0.0000  0.5000
Ho  0.0000  0.5000  0.0000
Ho  0.5000  0.0000  0.0000
Ho  0.5000  0.5000  0.5000
In  0.2500  0.2500  0.2500
In  0.2500  0.7500  0.7500
In  0.7500  0.2500  0.7500
In  0.7500  0.7500  0.2500
Ag  0.2500  0.2500  0.7500
Ag  0.2500  0.7500  0.2500
Ag  0.7500  0.2500  0.2500
Ag  0.7500  0.7500  0.7500

=====

Entry 5:
Computed, not measured: a geometry-optimized YHo2In2Ag2 structure at the PBE-GGA level of DFT.

Output
For the total energy, the calculation gives -28.8 eV for the cell shown.

a b c (Å): 9.3152 9.3152 9.3152
angles (deg): 30.07 30.07 30.07
Fractional coordinates of all 7 atoms:
Y  0.0000  0.0000  0.0000
Ho  0.1265  0.1265  0.1265
Ho  0.8735  0.8735  0.8735
In  0.2594  0.2594  0.2594
In  0.7406  0.7406  0.7406
Ag  0.3985  0.3985  0.3985
Ag  0.6015  0.6015  0.6015

=====

Entry 6:
Computed, not measured: a geometry-optimized HoZnInAg structure at the PBE-GGA level of DFT.

Output
For the total energy, the calculation gives -50.9 eV for the cell shown.

a b c (Å): 6.9095 6.9095 6.9095
angles (deg): 90.00 90.00 90.00
Fractional coordinates of all 16 atoms:
Ho  0.0000  0.0000  0.0000
Ho  0.0000  0.5000  0.5000
Ho  0.5000  0.0000  0.5000
Ho  0.5000  0.5000  0.0000
Zn  0.2500  0.2500  0.2500
Zn  0.2500  0.7500  0.7500
Zn  0.7500  0.2500  0.7500
Zn  0.7500  0.7500  0.2500
In  0.0000  0.0000  0.5000
In  0.0000  0.5000  0.0000
In  0.5000  0.0000  0.0000
In  0.5000  0.5000  0.5000
Ag  0.2500  0.2500  0.7500
Ag  0.2500  0.7500  0.2500
Ag  0.7500  0.2500  0.2500
Ag  0.7500  0.7500  0.7500

=====

Entry 7:
Computed, not measured: a geometry-optimized HoZrInAg structure at the PBE-GGA level of DFT.

Output
For the total energy, the calculation gives -78.3 eV for the cell shown.

a b c (Å): 7.1918 7.1918 7.1918
angles (deg): 90.00 90.00 90.00
Fractional coordinates of all 16 atoms:
Ho  0.0000  0.0000  0.0000
Ho  0.0000  0.5000  0.5000
Ho  0.5000  0.0000  0.5000
Ho  0.5000  0.5000  0.0000
Zr  0.0000  0.0000  0.5000
Zr  0.0000  0.5000  0.0000
Zr  0.5000  0.0000  0.0000
Zr  0.5000  0.5000  0.5000
In  0.2500  0.2500  0.7500
In  0.2500  0.7500  0.2500
In  0.7500  0.2500  0.2500
In  0.7500  0.7500  0.7500
Ag  0.2500  0.2500  0.2500
Ag  0.2500  0.7500  0.7500
Ag  0.7500  0.2500  0.7500
Ag  0.7500  0.7500  0.2500

=====

Entry 8:
Computed, not measured: a geometry-optimized Ho3AgIr2 structure at the PBE-GGA level of DFT.

Output
As for the energy above the most stable polymorph in this dataset: 12 meV/atom.

a b c (Å): 4.9408 14.6407 3.4765
angles (deg): 90.00 90.00 90.00
Fractional coordinates of all 12 atoms:
Ho  0.0000  0.0000  0.0000
Ho  0.0000  0.3249  0.0000
Ho  0.0000  0.6751  0.0000
Ho  0.5000  0.1751  0.0000
Ho  0.5000  0.5000  0.0000
Ho  0.5000  0.8249  0.0000
Ag  0.0000  0.5000  0.5000
Ag  0.5000  0.0000  0.5000
Ir  0.0000  0.1635  0.5000
Ir  0.0000  0.8365  0.5000
Ir  0.5000  0.3365  0.5000
Ir  0.5000  0.6635  0.5000

=====

Number 2 is which compound?
HoTm2In2Ag2